1.
Computed, not measured: K2HgOsS after structural relaxation at the GGA-PBE level of DFT.

abc: 6.245 6.245 5.208
angles: 90.00 90.00 90.00
Space group P4/mmm (No. 123)
Symmetry-distinct sites (fractional):
K 0.000 0.500 0.000 (multiplicity 2)
Hg 0.000 0.000 0.500 (multiplicity 1)
Os 0.000 0.000 0.000 (multiplicity 1)
S 0.500 0.500 0.500 (multiplicity 1)

Results
The calculation puts the density of states at the Fermi level at 1.482 states/eV/atom. The electronic total energy is -2.61 eV per atom. For the volume, the calculation gives 40.6 Å³/atom.



2.
Computed, not measured: NaMnZn2Au after structural relaxation at the GGA-PBE level of DFT.

abc: 4.910 4.910 5.092
angles: 90.00 90.00 90.00
Space group P4/mmm (No. 123)
Symmetry-distinct sites (fractional):
Na 0.000 0.000 0.000 (multiplicity 1)
Mn 0.500 0.500 0.500 (multiplicity 1)
Zn 0.000 0.500 0.000 (multiplicity 2)
Au 0.000 0.000 0.500 (multiplicity 1)

Results
The calculation puts the density of states at the Fermi level at 0.535 states/eV/atom. The electronic total energy is -2.30 eV per atom. For the volume, the calculation gives 24.5 Å³/atom.



3.
Computed, not measured: Nd6Ir2Se3I after structural relaxation at the GGA-PBE level of DFT.

abc: 18.781 4.169 8.908
angles: 90.00 104.56 90.00
Space group C2/m (No. 12)
Symmetry-distinct sites (fractional):
Nd 0.014 0.000 0.285 (multiplicity 4)
Nd 0.173 0.500 0.576 (multiplicity 4)
Nd 0.181 0.500 0.123 (multiplicity 4)
Ir 0.170 0.000 0.340 (multiplicity 4)
Se 0.000 0.500 0.500 (multiplicity 2)
Se 0.156 0.000 0.843 (multiplicity 4)
I 0.000 0.500 0.000 (multiplicity 2)

Results
The calculation puts the density of states at the Fermi level at 0.501 states/eV/atom. The electronic total energy is -6.14 eV per atom. For the volume, the calculation gives 28.1 Å³/atom.



4.
Computed, not measured: Sm4PAuS2 after structural relaxation at the GGA-PBE level of DFT.

abc: 7.125 4.057 7.133
angles: 90.00 108.74 90.00
Space group P2/m (No. 10)
Symmetry-distinct sites (fractional):
Sm 0.236 0.000 0.238 (multiplicity 2)
Sm 0.239 0.500 0.752 (multiplicity 2)
P 0.000 0.000 0.500 (multiplicity 1)
Au 0.500 0.500 0.500 (multiplicity 1)
S 0.000 0.500 0.000 (multiplicity 1)
S 0.500 0.000 0.000 (multiplicity 1)

Results
The calculation puts the density of states at the Fermi level at 0.446 states/eV/atom. The electronic total energy is -6.05 eV per atom. For the volume, the calculation gives 24.4 Å³/atom.



5.
Computed, not measured: Tb2NdYTe6 after structural relaxation at the GGA-PBE level of DFT.

abc: 7.7827 7.7827 21.2418
angles: 90.00 90.00 120.00
Space group R3 (No. 146, hexagonal axes)
Symmetry-distinct sites (fractional):
Tb 0.0000 0.0000 0.0000 (multiplicity 3)
Tb 0.0000 0.0000 0.4982 (multiplicity 3)
Nd 0.0000 0.0000 0.3101 (multiplicity 3)
Y 0.0000 0.0000 0.8126 (multiplicity 3)
Te 0.0186 0.3501 0.0741 (multiplicity 9)
Te 0.0314 0.6787 0.5728 (multiplicity 9)

Results
The electronic total energy is -5.31 eV per atom. For the volume, the calculation gives 37.1 Å³/atom.



6.
Computed, not measured: Pr6As3S2Cl after structural relaxation at the GGA-PBE level of DFT.

abc: 18.393 4.232 8.436
angles: 90.00 102.57 90.00
Space group C2/m (No. 12)
Symmetry-distinct sites (fractional):
Pr 0.003 0.000 0.267 (multiplicity 4)
Pr 0.169 0.500 0.582 (multiplicity 4)
Pr 0.174 0.500 0.091 (multiplicity 4)
As 0.000 0.500 0.500 (multiplicity 2)
As 0.163 0.000 0.835 (multiplicity 4)
S 0.166 0.000 0.332 (multiplicity 4)
Cl 0.000 0.500 0.000 (multiplicity 2)

Results
The calculation puts the density of states at the Fermi level at 0.342 states/eV/atom. The electronic total energy is -6.11 eV per atom. For the volume, the calculation gives 26.7 Å³/atom.



7.
Computed, not measured: Rb3NaU2S6 after structural relaxation at the GGA-PBE level of DFT.

abc: 7.183 12.437 8.003
angles: 90.00 107.33 90.00
Space group C2/m (No. 12)
Symmetry-distinct sites (fractional):
Rb 0.000 0.000 0.000 (multiplicity 2)
Rb 0.000 0.343 0.000 (multiplicity 4)
Na 0.000 0.500 0.500 (multiplicity 2)
U 0.000 0.167 0.500 (multiplicity 4)
S 0.204 0.000 0.690 (multiplicity 4)
S 0.246 0.319 0.694 (multiplicity 8)

Results
The calculation puts the density of states at the Fermi level at 0.832 states/eV/atom. The electronic total energy is -5.68 eV per atom. For the volume, the calculation gives 28.4 Å³/atom.



8.
Computed, not measured: Sr2GaPd after structural relaxation at the GGA-PBE level of DFT.

abc: 3.839 3.839 7.521
angles: 90.00 90.00 90.00
Space group P4/mmm (No. 123)
Symmetry-distinct sites (fractional):
Sr 0.000 0.000 0.241 (multiplicity 2)
Ga 0.500 0.500 0.500 (multiplicity 1)
Pd 0.500 0.500 0.000 (multiplicity 1)

Results
The calculation puts the density of states at the Fermi level at 0.769 states/eV/atom. The electronic total energy is -3.32 eV per atom. For the volume, the calculation gives 27.7 Å³/atom.